First-principles (PBE) data for a relaxed structure of CaBi2Ru, as listed in the Alexandria database.

Cell lengths 8.350, 8.350, 6.318 Å; angles 90.00, 90.00, 90.00 degrees
Space group I-42d (No. 122)
Unique sites:
Ca 0.000 0.000 0.000 (multiplicity 4)
Bi 0.183 0.250 0.625 (multiplicity 8)
Ru 0.000 0.000 0.500 (multiplicity 4)

DFT formation energy = -0.03 eV per atom

First-principles (PBE) data for a relaxed structure of Ca2BiRu, as listed in the Alexandria database.

Cell lengths 10.349, 10.349, 5.207 Å; angles 90.00, 90.00, 90.00 degrees
Space group I-42d (No. 122)
Unique sites:
Ca 0.087 0.750 0.125 (multiplicity 8)
Bi 0.000 0.000 0.500 (multiplicity 4)
Ru 0.000 0.000 0.000 (multiplicity 4)

DFT formation energy = -0.01 eV per atom

First-principles (PBE) data for a relaxed structure of Ca2Bi2Ru, as listed in the Alexandria database.

Cell lengths 7.323, 7.323, 4.982 Å; angles 90.00, 90.00, 90.00 degrees
Space group P4/mbm (No. 127)
Unique sites:
Ca 0.169 0.331 0.000 (multiplicity 4)
Bi 0.151 0.651 0.500 (multiplicity 4)
Ru 0.000 0.000 0.500 (multiplicity 2)

DFT formation energy = -0.28 eV per atom

First-principles (PBE) data for a relaxed structure of Ca2BiRu2, as listed in the Alexandria database.

Cell lengths 6.967, 6.967, 4.733 Å; angles 90.00, 90.00, 90.00 degrees
Space group P4/mbm (No. 127)
Unique sites:
Ca 0.172 0.328 0.000 (multiplicity 4)
Bi 0.000 0.000 0.500 (multiplicity 2)
Ru 0.124 0.624 0.500 (multiplicity 4)

DFT formation energy = -0.06 eV per atom